Compound: CoAsW
Source: the Open Quantum Materials Database
Functional: GGA-PBE
Structure: optimized geometry

a b c (Å): 5.831 5.831 5.831
angles (deg): 90.00 90.00 90.00
Space group F-43m (No. 216)
Symmetry-distinct sites (fractional):
Co  0.000  0.000  0.000 (multiplicity 4)
As  0.000  0.000  0.500 (multiplicity 4)
W  0.250  0.250  0.750 (multiplicity 4)

Computed properties:
**Uncorrected energy**: -93.37 eV per cell

---

Compound: ZnCoAsW
Source: the Open Quantum Materials Database
Functional: GGA-PBE
Structure: optimized geometry

a b c (Å): 6.166 6.166 6.166
angles (deg): 90.00 90.00 90.00
Space group F-43m (No. 216)
Symmetry-distinct sites (fractional):
Zn  0.000  0.000  0.000 (multiplicity 4)
Co  0.000  0.000  0.500 (multiplicity 4)
As  0.250  0.250  0.250 (multiplicity 4)
W  0.250  0.250  0.750 (multiplicity 4)

Computed properties:
**Uncorrected energy**: -93.41 eV per cell
**Distance to the lowest polymorph of the same formula**: 0.2888 eV per atom

---

Compound: ZnCoAsW
Source: the Open Quantum Materials Database
Functional: GGA-PBE
Structure: optimized geometry

a b c (Å): 6.042 6.042 6.042
angles (deg): 90.00 90.00 90.00
Space group F-43m (No. 216)
Symmetry-distinct sites (fractional):
Zn  0.000  0.000  0.000 (multiplicity 4)
Co  0.250  0.250  0.750 (multiplicity 4)
As  0.000  0.000  0.500 (multiplicity 4)
W  0.250  0.250  0.250 (multiplicity 4)

Computed properties:
**Uncorrected energy**: -98.03 eV per cell
**Distance to the lowest polymorph of the same formula**: 0.0000 eV per atom